1.
Here is an optimized crystal structure of CeZn2Pd2 from the Alexandria database. Energies are from PBE.

Geometry as POSCAR:
```
CeZn2Pd2
1.0
-4.124 -0.507 2.189
-3.681 -2.376 -2.447
-0.792 -4.241 2.563
Zn Pd Ce
2 2 1
Cartesian
-6.031 -2.854 0.572 Zn
-2.567 -4.270 1.733 Zn
-5.316 -5.282 1.357 Pd
-3.281 -1.842 0.948 Pd
-0.396 -2.121 1.281 Ce
```

Computed properties:
D(E_F) = 6.7 states/eV/f.u.
Uncorrected energy = -21.532 eV per formula unit

2.
Here is an optimized crystal structure of Na2GaNiH6 from the Alexandria database. Energies are from PBE.

Geometry as POSCAR:
```
Na2GaNiH6
1.0
5.077 -0.008 0.006
-0.008 5.077 0.006
2.539 2.539 3.617
H Ga Na Ni
6 1 2 1
Cartesian
2.542 2.542 1.961 H
3.909 3.909 0.015 H
5.065 5.065 1.669 H
3.699 3.699 3.614 H
1.156 3.913 0.006 H
3.913 1.156 0.006 H
2.534 2.534 0.006 Ga
2.534 5.074 1.815 Na
5.074 2.534 1.815 Na
0.000 0.000 0.000 Ni
```

Computed properties:
D(E_F) = 1.8 states/eV/f.u.
Uncorrected energy = -32.505 eV per formula unit

3.
Here is an optimized crystal structure of In2SiCI from the Alexandria database. Energies are from PBE.

Geometry as POSCAR:
```
In2SiCI
1.0
-1.530 -5.751 1.979
1.269 0.740 3.133
-5.630 2.112 1.783
Si I In C
1 1 2 1
Cartesian
0.635 0.370 1.566 Si
-2.946 -1.450 3.447 I
-2.815 1.056 0.891 In
-0.765 -2.876 0.990 In
0.000 0.000 0.000 C
```

Computed properties:
D(E_F) = 2.5 states/eV/f.u.
E_form (uncorrected) = 60 kJ/mol of atoms

4.
Here is an optimized crystal structure of CsNp3Tl2S8 from the Alexandria database. Energies are from PBE.

Geometry as POSCAR:
```
CsNp3Tl2S8
1.0
-7.709 1.959 1.551
-6.017 -4.372 -3.217
-4.506 -5.735 6.016
S Tl Np Cs
8 2 3 1
Cartesian
-10.510 -4.446 5.288 S
-11.211 -2.816 -0.239 S
-13.668 -6.539 3.832 S
-7.025 -5.332 4.587 S
-7.720 -3.703 -0.941 S
-8.486 -0.837 1.218 S
-4.564 -1.648 0.569 S
-9.745 -7.308 3.132 S
-4.530 -4.026 3.739 Tl
-9.121 -3.720 1.703 Tl
-6.851 -1.209 -0.827 Np
-3.017 -2.183 -1.598 Np
-3.858 0.966 0.773 Np
-13.697 -4.539 1.166 Cs
```

Computed properties:
D(E_F) = 25.1 states/eV/f.u.
E_form (uncorrected) = -102 kJ/mol of atoms

5.
Here is an optimized crystal structure of LiReN2O from the Alexandria database. Energies are from PBE.

Geometry as POSCAR:
```
LiReN2O
1.0
3.567 0.000 0.000
0.000 3.567 0.000
0.000 0.000 3.349
Re N O Li
1 2 1 1
Cartesian
1.784 1.784 1.674 Re
0.000 1.784 0.000 N
1.784 0.000 0.000 N
0.000 0.000 1.674 O
0.000 0.000 0.000 Li
```

Computed properties:
D(E_F) = 2.6 states/eV/f.u.
E_form (uncorrected) = 136 kJ/mol of atoms

6.
Here is an optimized crystal structure of CsAlIn2Br from the Alexandria database. Energies are from PBE.

Geometry as POSCAR:
```
CsAlIn2Br
1.0
5.243 0.000 0.000
0.000 8.351 0.000
0.000 0.000 5.243
Cs Al In Br
1 1 2 1
Cartesian
0.000 4.175 0.000 Cs
0.000 0.000 0.000 Al
0.000 0.000 2.622 In
2.622 0.000 0.000 In
2.622 4.175 2.622 Br
```

Computed properties:
D(E_F) = 2.8 states/eV/f.u.
E_form (uncorrected) = -19 kJ/mol of atoms

7.
Here is an optimized crystal structure of EuSc3Ni from the Alexandria database. Energies are from PBE.

Geometry as POSCAR:
```
EuSc3Ni
1.0
5.040 0.000 0.000
0.000 5.040 0.000
0.000 0.000 5.040
Sc Eu Ni
3 1 1
Cartesian
0.000 2.520 0.000 Sc
0.000 0.000 2.520 Sc
2.520 0.000 0.000 Sc
2.520 2.520 2.520 Eu
0.000 0.000 0.000 Ni
```

Computed properties:
D(E_F) = 6.4 states/eV/f.u.
Uncorrected energy = -35.480 eV per formula unit

8.
Here is an optimized crystal structure of Sm3Ga4 from the Alexandria database. Energies are from PBE.

Geometry as POSCAR:
```
Sm3Ga4
1.0
4.193 0.000 0.000
0.000 4.348 0.000
-2.096 -2.174 9.298
Ga Sm
4 3
Cartesian
2.096 2.174 2.672 Ga
0.000 0.000 6.626 Ga
2.096 0.000 8.069 Ga
0.000 2.174 1.228 Ga
2.096 2.174 5.873 Sm
2.096 0.000 0.000 Sm
0.000 0.000 3.425 Sm
```

Computed properties:
D(E_F) = 5.2 states/eV/f.u.
Uncorrected energy = -30.737 eV per formula unit

9.
Here is an optimized crystal structure of Li3Zn2Cu3 from the Alexandria database. Energies are from PBE.

Geometry as POSCAR:
```
Li3Zn2Cu3
1.0
-0.096 -1.621 3.950
2.032 -3.449 -1.366
4.120 5.073 -0.127
Li Zn Cu
3 2 3
Cartesian
1.257 -0.158 2.274 Li
4.799 0.161 0.183 Li
0.968 -2.535 1.292 Li
3.565 -1.237 1.888 Zn
2.492 1.240 0.569 Zn
0.000 0.000 0.000 Cu
3.812 1.118 2.860 Cu
2.244 -1.115 -0.403 Cu
```

Computed properties:
D(E_F) = 2.0 states/eV/f.u.
Uncorrected energy = -21.475 eV per formula unit

10.
Here is an optimized crystal structure of Er2ZrGa from the Alexandria database. Energies are from PBE.

Geometry as POSCAR:
```
Er2ZrGa
1.0
-2.804 1.179 -1.563
-1.857 -2.470 1.467
-1.532 5.044 6.553
Er Zr Ga
2 1 1
Cartesian
-0.347 1.142 1.483 Er
-1.185 3.902 5.069 Er
-3.096 1.877 3.228 Zr
-2.330 -0.645 -0.048 Ga
```

Computed properties:
D(E_F) = 3.5 states/eV/f.u.
Uncorrected energy = -21.720 eV per formula unit

11.
Here is an optimized crystal structure of PuPaGeS from the Alexandria database. Energies are from PBE.

Geometry as POSCAR:
```
PuPaGeS
1.0
4.069 0.000 0.000
2.035 3.524 0.000
2.035 1.175 6.484
Pu Pa Ge S
1 1 1 1
Cartesian
6.104 3.524 1.194 Pu
4.069 2.349 4.250 Pa
6.104 3.524 5.924 Ge
2.035 1.175 2.707 S
```

Computed properties:
D(E_F) = 8.6 states/eV/f.u.
E_form (uncorrected) = -99 kJ/mol of atoms

12.
Here is an optimized crystal structure of SrBe2Pb from the Alexandria database. Energies are from PBE.

Geometry as POSCAR:
```
SrBe2Pb
1.0
-0.900 2.353 3.393
-4.702 -1.293 -0.351
0.835 -3.813 2.865
Pb Sr Be
1 1 2
Cartesian
-1.417 -0.100 2.325 Pb
-3.351 -2.653 3.582 Sr
-0.357 -4.058 2.719 Be
-0.742 -2.308 1.404 Be
```

Computed properties:
D(E_F) = 1.2 states/eV/f.u.
Uncorrected energy = -11.671 eV per formula unit

13.
Here is an optimized crystal structure of TmThSbAs from the Alexandria database. Energies are from PBE.

Geometry as POSCAR:
```
TmThSbAs
1.0
-1.763 1.656 -3.537
0.638 -1.883 -3.795
-6.091 -4.026 -1.445
Th Tm Sb As
1 1 1 1
Cartesian
-1.237 -0.305 -7.313 Th
-3.494 -2.048 -4.409 Tm
-5.341 -3.142 -6.596 Sb
-1.876 -1.113 -2.182 As
```

Computed properties:
D(E_F) = 2.0 states/eV/f.u.
E_form (uncorrected) = -116 kJ/mol of atoms

14.
Here is an optimized crystal structure of CsCuRuCl6 from the Alexandria database. Energies are from PBE.

Geometry as POSCAR:
```
CsCuRuCl6
1.0
-1.452 5.873 -1.953
-3.950 0.831 -4.912
-6.104 0.131 4.932
Cs Cl Cu Ru
1 6 1 1
Cartesian
-7.557 6.004 2.978 Cs
-5.016 2.664 -2.151 Cl
-3.451 0.427 -0.154 Cl
-2.988 3.742 0.331 Cl
-4.664 2.199 2.530 Cl
-6.587 0.696 0.189 Cl
-6.410 4.071 0.319 Cl
-6.654 4.534 -2.111 Cu
-4.853 2.300 0.178 Ru
```

Computed properties:
D(E_F) = 4.2 states/eV/f.u.
E_form (uncorrected) = -82 kJ/mol of atoms

15.
Here is an optimized crystal structure of CePaTl from the Alexandria database. Energies are from PBE.

Geometry as POSCAR:
```
CePaTl
1.0
-0.454 3.803 3.774
-4.727 1.996 1.367
-0.597 -4.402 4.364
Pa Ce Tl
2 2 2
Cartesian
-5.246 0.868 7.185 Pa
-2.521 0.796 7.485 Pa
-5.137 2.978 4.885 Ce
-2.033 3.088 5.421 Ce
-3.508 0.024 4.363 Tl
-3.208 2.239 2.168 Tl
```

Computed properties:
D(E_F) = 6.4 states/eV/f.u.
Uncorrected energy = -17.464 eV per formula unit

16.
Here is an optimized crystal structure of Sr4NiAu from the Alexandria database. Energies are from PBE.

Geometry as POSCAR:
```
Sr4NiAu
1.0
0.000 4.839 4.839
4.839 0.000 4.839
4.839 4.839 0.000
Sr Au Ni
4 1 1
Cartesian
6.051 6.051 3.627 Sr
3.627 6.051 6.051 Sr
6.051 3.627 6.051 Sr
3.627 3.627 3.627 Sr
7.259 7.259 7.259 Au
0.000 0.000 0.000 Ni
```

Computed properties:
D(E_F) = 9.1 states/eV/f.u.
Uncorrected energy = -11.059 eV per formula unit

17.
Here is an optimized crystal structure of La4Bi2AsN2 from the Alexandria database. Energies are from PBE.

Geometry as POSCAR:
```
La4Bi2AsN2
1.0
4.198 0.000 0.000
0.000 9.339 -0.162
-2.099 -3.787 7.307
Bi La N As
2 4 2 1
Cartesian
2.099 1.185 5.759 Bi
0.000 4.367 1.386 Bi
2.099 7.229 0.243 La
2.099 6.028 3.942 La
0.000 -1.676 6.902 La
0.000 -0.476 3.203 La
0.000 -2.257 4.720 N
2.099 7.809 2.425 N
0.000 0.000 0.000 As
```

Computed properties:
D(E_F) = 1.3 states/eV/f.u.
E_form (uncorrected) = -115 kJ/mol of atoms

18.
Here is an optimized crystal structure of NaCaSn2 from the Alexandria database. Energies are from PBE.

Geometry as POSCAR:
```
NaCaSn2
1.0
-4.380 1.841 -0.151
-1.040 -2.137 4.116
0.766 8.564 7.385
Sn Na Ca
4 2 2
Cartesian
-1.061 1.058 4.398 Sn
-4.155 6.191 8.957 Sn
-2.621 3.001 2.268 Sn
-1.471 6.285 7.077 Sn
-1.492 3.139 6.742 Na
-2.710 -0.148 1.983 Na
0.000 0.000 0.000 Ca
-3.162 5.129 4.608 Ca
```

Computed properties:
D(E_F) = 2.2 states/eV/f.u.
Uncorrected energy = -11.781 eV per formula unit

19.
Here is an optimized crystal structure of Mg2Rh4Br from the Alexandria database. Energies are from PBE.

Geometry as POSCAR:
```
Mg2Rh4Br
1.0
-4.351 -0.605 1.114
-0.968 -0.987 -4.316
-1.448 -7.281 -0.390
Rh Mg Br
4 2 1
Cartesian
-0.484 -0.493 -2.158 Rh
-4.897 -3.850 -2.780 Rh
-1.870 -5.022 -0.811 Rh
-2.175 -0.302 0.557 Rh
-4.425 -6.376 -2.308 Mg
-2.342 -2.496 -1.283 Mg
0.000 0.000 0.000 Br
```

Computed properties:
D(E_F) = 7.1 states/eV/f.u.
E_form (uncorrected) = 59 kJ/mol of atoms

20.
Here is an optimized crystal structure of HfNbAs3 from the Alexandria database. Energies are from PBE.

Geometry as POSCAR:
```
HfNbAs3
1.0
4.930 0.000 0.000
0.000 4.930 0.000
0.000 0.000 4.930
Nb As Hf
1 3 1
Cartesian
0.000 0.000 0.000 Nb
0.000 0.000 2.465 As
2.465 0.000 0.000 As
0.000 2.465 0.000 As
2.465 2.465 2.465 Hf
```

Computed properties:
D(E_F) = 4.3 states/eV/f.u.
Uncorrected energy = -31.576 eV per formula unit

21.
Here is an optimized crystal structure of Rb3TlRu2O8 from the Alexandria database. Energies are from PBE.

Geometry as POSCAR:
```
Rb3TlRu2O8
1.0
6.419 0.000 0.000
-3.210 5.559 0.000
0.000 0.000 8.341
O Rb Ru Tl
8 3 2 1
Cartesian
1.759 1.015 5.949 O
1.451 4.544 2.392 O
4.661 1.015 5.949 O
0.000 2.031 2.392 O
3.210 3.529 5.949 O
-1.451 4.544 2.392 O
0.000 3.706 8.274 O
3.210 1.853 0.067 O
3.210 1.853 2.797 Rb
0.000 3.706 5.544 Rb
0.000 0.000 0.000 Rb
0.000 3.706 1.703 Ru
3.210 1.853 6.638 Ru
0.000 0.000 4.170 Tl
```

Computed properties:
E_form (uncorrected) = -114 kJ/mol of atoms

22.
Here is an optimized crystal structure of Ac3TlHg2 from the Alexandria database. Energies are from PBE.

Geometry as POSCAR:
```
Ac3TlHg2
1.0
-1.435 2.069 3.159
-3.568 -1.851 -0.409
3.810 -9.035 7.649
Ac Hg Tl
3 2 1
Cartesian
2.567 -6.088 5.154 Ac
1.242 -2.947 2.495 Ac
0.000 0.000 0.000 Ac
0.691 -7.462 7.785 Hg
-1.885 -1.354 2.614 Hg
-0.597 -4.408 5.200 Tl
```

Computed properties:
D(E_F) = 8.2 states/eV/f.u.
Uncorrected energy = -17.864 eV per formula unit

23.
Here is an optimized crystal structure of Pm6NdY2Er3 from the Alexandria database. Energies are from PBE.

Geometry as POSCAR:
```
Pm6NdY2Er3
1.0
-1.598 5.203 3.081
-4.377 -3.357 -2.947
0.263 -6.894 9.669
Er Y Pm Nd
3 2 6 1
Cartesian
-1.930 0.327 6.909 Er
-2.856 -2.524 4.901 Er
-3.782 -5.375 2.894 Er
-2.524 2.349 1.071 Y
-3.451 -0.503 -0.937 Y
-3.814 -2.340 8.326 Pm
-0.972 0.145 3.486 Pm
-1.898 -2.708 1.477 Pm
-4.423 -0.357 2.547 Pm
-1.289 -4.691 7.256 Pm
-4.740 -5.193 6.317 Pm
0.000 0.000 0.000 Nd
```

Computed properties:
D(E_F) = 14.5 states/eV/f.u.
Uncorrected energy = -59.722 eV per formula unit

24.
Here is an optimized crystal structure of Ce2TlSe4 from the Alexandria database. Energies are from PBE.

Geometry as POSCAR:
```
Ce2TlSe4
1.0
-2.107 -3.657 0.819
3.061 2.194 6.386
-11.837 7.512 3.092
Ce Se Tl
4 8 2
Cartesian
-10.636 5.450 8.257 Ce
-6.295 2.695 7.122 Ce
-4.588 3.355 3.175 Ce
-0.246 0.599 2.041 Ce
-6.972 1.928 1.956 Se
-1.054 -1.828 0.410 Se
-6.260 4.751 5.111 Se
-8.180 4.125 8.657 Se
-2.703 1.925 1.641 Se
-9.589 6.864 5.980 Se
-4.623 1.298 5.187 Se
-1.294 -0.815 4.317 Se
-9.530 3.879 4.086 Tl
-1.353 2.171 6.211 Tl
```

Computed properties:
D(E_F) = 8.9 states/eV/f.u.
E_form (uncorrected) = -138 kJ/mol of atoms

25.
Here is an optimized crystal structure of LaTc2Ru from the Alexandria database. Energies are from PBE.

Geometry as POSCAR:
```
LaTc2Ru
1.0
-1.980 0.125 -3.408
-2.508 -2.724 1.356
-8.254 6.108 2.738
La Ru Tc
2 2 4
Cartesian
-6.238 2.467 -0.848 La
0.000 0.000 0.000 La
-6.502 1.042 1.534 Ru
-2.244 -1.299 -1.026 Ru
-4.046 -0.149 0.817 Tc
-3.446 1.254 -0.987 Tc
-8.086 3.375 1.399 Tc
-9.904 2.538 0.144 Tc
```

Computed properties:
D(E_F) = 5.4 states/eV/f.u.
Uncorrected energy = -32.502 eV per formula unit

Magnetization (μB per cell)
0.7, 0.0, 0.0, 8.0, 0.1, 0.0, 7.3, 0.3, 0.0, 0.0, 5.3, 0.0, 0.0, 2.0, 0.0, 0.0, 0.0, 0.0, 0.0, 0.0, 4.0, 0.6, 0.0, 2.1, 0.0